1.
MnReSe2 | PBE | optimized geometry

## Properties
Raw formation energy in eV per atom: 0.671
Energy above the most stable polymorph in this dataset in meV per atom: 807
SG: Pmmm

abc: 3.156 5.846 3.936
angles: 90.00 90.00 90.00
Sites, in units of the cell vectors:
Re 0.000 0.500 0.500
Se 0.500 0.500 0.000
Se 0.000 0.000 0.000
Mn 0.500 0.000 0.500

=====

2.
RbLaZr2B | PBE | optimized geometry

## Properties
ΔH_f (0 K) in kJ/mol of atoms: 65
SG: P4/mmm

abc: 4.770 5.935 4.770
angles: 90.00 90.00 90.00
Sites, in units of the cell vectors:
B 0.000 0.000 0.000
Zr 0.500 0.000 0.000
Zr 0.000 0.000 0.500
Rb 0.000 0.500 0.000
La 0.500 0.500 0.500

=====

3.
ScIr | PBE | optimized geometry

## Properties
ΔH_f (0 K) in kJ/mol of atoms: -59
SG: I4/mmm

abc: 8.501 8.501 4.190
angles: 90.00 90.00 90.00
Sites, in units of the cell vectors:
Sc 0.775 0.500 0.000
Sc 0.000 0.725 0.500
Sc 0.000 0.275 0.500
Sc 0.725 0.000 0.500
Sc 0.500 0.225 0.000
Sc 0.275 0.000 0.500
Sc 0.225 0.500 0.000
Sc 0.500 0.775 0.000
Ir 0.163 0.837 0.000
Ir 0.337 0.337 0.500
Ir 0.163 0.163 0.000
Ir 0.837 0.837 0.000
Ir 0.337 0.663 0.500
Ir 0.663 0.663 0.500
Ir 0.837 0.163 0.000
Ir 0.663 0.337 0.500

=====

4.
VNi3Pt2 | PBE | optimized geometry

## Properties
ΔH_f (0 K) in kJ/mol of atoms: -20
Energy above the most stable polymorph in this dataset in meV per atom: 0
SG: Fmmm

abc: 4.876 4.876 7.644
angles: 100.75 100.75 114.52
Sites, in units of the cell vectors:
Ni 0.335 0.832 0.167
Ni 0.665 0.168 0.833
Ni 0.168 0.665 0.833
Ni 0.167 0.167 0.334
Ni 0.832 0.335 0.167
Ni 0.833 0.833 0.666
V 0.667 0.667 0.334
V 0.333 0.333 0.666
Pt 0.250 0.750 0.500
Pt 0.750 0.250 0.500
Pt 0.750 0.750 0.000
Pt 0.250 0.250 0.000

=====

5.
Pm2GeN | PBE | optimized geometry

## Properties
Raw formation energy in eV per atom: -0.247
Energy above the most stable polymorph in this dataset in meV per atom: 498
SG: R-3m

abc: 4.490 4.490 7.950
angles: 73.60 73.60 60.00
Sites, in units of the cell vectors:
Pm 0.093 0.093 0.722
Pm 0.907 0.907 0.278
Ge 0.500 0.500 0.500
N 0.000 0.000 0.000

=====

6.
Dy3ThSc4 | PBE | optimized geometry

## Properties
ΔH_f (0 K) in kJ/mol of atoms: 16
Energy above the most stable polymorph in this dataset in meV per atom: 118
SG: Immm

abc: 3.272 8.503 8.503
angles: 80.92 78.91 78.91
Sites, in units of the cell vectors:
Sc 0.364 0.387 0.884
Sc 0.364 0.884 0.387
Sc 0.636 0.116 0.613
Sc 0.636 0.613 0.116
Dy 0.762 0.238 0.238
Dy 0.000 0.500 0.500
Dy 0.238 0.762 0.762
Th 0.500 0.000 0.000

=====

7.
In2BiAsIr | PBE | optimized geometry

## Properties
ΔH_f (0 K) in kJ/mol of atoms: 16
SG: P4/mmm

abc: 5.340 4.662 5.340
angles: 90.00 90.00 90.00
Sites, in units of the cell vectors:
In 0.000 0.000 0.500
In 0.500 0.000 0.000
Bi 0.500 0.500 0.500
As 0.000 0.500 0.000
Ir 0.000 0.000 0.000

=====

8.
Sm3Zn9Ge2 | PBE | optimized geometry

## Properties
ΔH_f (0 K) in kJ/mol of atoms: -35
SG: Immm

abc: 4.348 8.212 8.212
angles: 72.92 74.65 74.65
Sites, in units of the cell vectors:
Zn 0.143 0.127 0.586
Zn 0.338 0.034 0.291
Zn 0.000 0.500 0.500
Zn 0.662 0.709 0.966
Zn 0.857 0.414 0.873
Zn 0.857 0.873 0.414
Zn 0.143 0.586 0.127
Zn 0.662 0.966 0.709
Zn 0.338 0.291 0.034
Sm 0.688 0.312 0.312
Sm 0.312 0.688 0.688
Sm 0.000 0.000 0.000
Ge 0.500 0.289 0.711
Ge 0.500 0.711 0.289

=====

9.
Sc2Fe2C | PBE | optimized geometry

## Properties
ΔH_f (0 K) in kJ/mol of atoms: 29
Energy above the most stable polymorph in this dataset in meV per atom: 0
SG: I4/mmm

abc: 3.071 3.071 7.701
angles: 78.50 78.50 90.00
Sites, in units of the cell vectors:
Fe 0.250 0.750 0.500
Fe 0.750 0.250 0.500
Sc 0.588 0.588 0.824
Sc 0.412 0.412 0.176
C 0.000 0.000 0.000

=====

10.
ScHgP2Cl | PBE | optimized geometry

## Properties
Raw formation energy in eV per atom: -0.069
Energy above the most stable polymorph in this dataset in meV per atom: 0
SG: P4/mmm

abc: 5.108 5.108 4.900
angles: 90.00 90.00 90.00
Sites, in units of the cell vectors:
P 0.000 0.500 0.000
P 0.500 0.000 0.000
Hg 0.500 0.500 0.500
Cl 0.000 0.000 0.500
Sc 0.000 0.000 0.000

=====

11.
NdGdLuZr | PBE | optimized geometry

## Properties
ΔH_f (0 K) in kJ/mol of atoms: 20
SG: F-43m

abc: 5.512 5.512 5.512
angles: 60.00 60.00 60.00
Sites, in units of the cell vectors:
Zr 0.250 0.250 0.250
Lu 0.000 0.000 0.000
Gd 0.500 0.500 0.500
Nd 0.750 0.750 0.750

=====

12.
Tb4ErBi5 | PBE | optimized geometry

## Properties
ΔH_f (0 K) in kJ/mol of atoms: -84
SG: Immm

abc: 4.481 6.332 11.850
angles: 105.50 100.90 90.00
Sites, in units of the cell vectors:
Bi 0.401 0.901 0.802
Bi 0.200 0.700 0.400
Bi 0.000 0.500 0.000
Bi 0.800 0.300 0.600
Bi 0.599 0.099 0.198
Er 0.000 0.000 0.000
Tb 0.600 0.600 0.200
Tb 0.199 0.199 0.399
Tb 0.400 0.400 0.800
Tb 0.801 0.801 0.601

=====

13.
LaPr14Sc | PBE | optimized geometry

## Properties
ΔH_f (0 K) in kJ/mol of atoms: 2
SG: P4/mmm

abc: 7.368 7.368 10.443
angles: 90.00 90.00 90.03
Sites, in units of the cell vectors:
Pr 0.375 0.125 0.000
Pr 0.375 0.125 0.500
Pr 0.875 0.125 0.500
Pr 0.629 0.371 0.754
Pr 0.121 0.879 0.246
Pr 0.121 0.879 0.754
Pr 0.629 0.879 0.246
Pr 0.121 0.371 0.754
Pr 0.875 0.625 0.500
Pr 0.375 0.625 0.500
Pr 0.629 0.879 0.754
Pr 0.121 0.371 0.246
Pr 0.875 0.625 0.000
Pr 0.629 0.371 0.246
Sc 0.875 0.125 0.000
La 0.375 0.625 0.000

=====

14.
Th6Os2PbSe3 | PBE | optimized geometry

## Properties
Raw formation energy in eV per atom: -0.953
SG: C2/m

abc: 4.230 8.843 9.659
angles: 104.68 102.65 90.00
Sites, in units of the cell vectors:
Se 0.158 0.841 0.316
Se 0.842 0.159 0.684
Se 0.500 0.500 0.000
Th 0.325 0.431 0.650
Th 0.675 0.569 0.350
Th 0.016 0.271 0.032
Th 0.984 0.729 0.968
Th 0.326 0.877 0.652
Th 0.674 0.123 0.348
Os 0.830 0.659 0.659
Os 0.170 0.341 0.341
Pb 0.500 0.000 0.000

=====

15.
BaEu2Er | PBE | optimized geometry

## Properties
ΔH_f (0 K) in kJ/mol of atoms: 11
Energy above the most stable polymorph in this dataset in meV per atom: 0
SG: P4/mmm

abc: 4.168 4.168 9.900
angles: 90.00 90.00 90.00
Sites, in units of the cell vectors:
Eu 0.000 0.000 0.207
Eu 0.000 0.000 0.793
Er 0.500 0.500 0.000
Ba 0.500 0.500 0.500

=====

16.
In2RePt | PBE | optimized geometry

## Properties
ΔH_f (0 K) in kJ/mol of atoms: 22
Energy above the most stable polymorph in this dataset in meV per atom: 68
SG: P4mm

abc: 2.953 2.953 8.743
angles: 90.00 90.00 90.00
Sites, in units of the cell vectors:
In 0.000 0.000 0.967
In 0.500 0.500 0.277
Pt 0.000 0.000 0.531
Re 0.500 0.500 0.725

=====

17.
CsBiS2Br | PBE | optimized geometry

## Properties
Raw formation energy in eV per atom: -0.583
SG: P4/mmm

abc: 5.323 5.323 5.985
angles: 90.00 90.00 90.00
Sites, in units of the cell vectors:
Cs 0.500 0.500 0.500
S 0.500 0.000 0.000
S 0.000 0.500 0.000
Br 0.000 0.000 0.500
Bi 0.000 0.000 0.000

=====

18.
KTlS2 | PBE | optimized geometry

## Properties
Raw formation energy in eV per atom: -0.590
Energy above the most stable polymorph in this dataset in meV per atom: 40
SG: Amm2

abc: 5.102 5.103 5.525
angles: 89.99 89.99 119.83
Sites, in units of the cell vectors:
S 0.791 0.503 0.508
S 0.790 0.502 0.892
Tl 0.124 0.169 0.700
K 0.457 0.836 0.200